(1)
Computed, not measured: a relaxed structure of LaLuCdAg at the PBE level of DFT.

Properties
Its crystal system is cubic.

The structure in POSCAR format:
```
LaLuCdAg
1.0
-3.0921 3.3889 2.6877
0.0976 0.0440 5.3159
2.1753 4.1055 2.5851
Lu La Ag Cd
1 1 1 1
Cartesian
-0.4096 3.7692 5.2944
0.0000 0.0000 0.0000
-0.2048 1.8846 2.6472
-0.6144 5.6538 7.9416
```

=====

(2)
Computed, not measured: a relaxed structure of LaMgCd2Ag4 at the PBE level of DFT.

Properties
Its crystal system is trigonal.

The structure in POSCAR format:
```
LaMgCd2Ag4
1.0
4.8662 0.0000 0.0000
2.4331 4.2142 0.0000
2.4331 1.4047 8.4705
La Mg Cd Ag
1 1 2 4
Cartesian
0.0000 0.0000 0.0000
4.8662 2.8095 4.2353
7.2993 4.2142 6.3161
2.4331 1.4047 2.1544
4.8662 2.8095 6.9616
7.2993 4.2142 3.3264
2.4331 1.4047 5.1442
4.8662 2.8095 1.5090
```

=====

(3)
Computed, not measured: a relaxed structure of LaMg2Cd2Ag2 at the PBE level of DFT.

Properties
Its crystal system is trigonal.

The structure in POSCAR format:
```
LaMg2Cd2Ag2
1.0
-3.9527 -2.7982 0.5153
-1.4021 -2.9265 -3.6317
2.8054 -7.8388 1.9679
La Mg Cd Ag
1 2 2 2
Cartesian
0.0000 0.0000 0.0000
0.9160 -5.3978 0.7304
-3.4654 -8.1657 -1.8788
-2.4143 -5.3094 -1.3207
-0.1351 -8.2541 0.1723
-1.8727 -10.2234 -0.8356
-0.6767 -3.3401 -0.3129
```

=====

(4)
Computed, not measured: a relaxed structure of LaMgCd5Ag2 at the PBE level of DFT.

Properties
Its crystal system is tetragonal.

The structure in POSCAR format:
```
LaMgCd5Ag2
1.0
-0.3233 -3.6054 3.7725
5.1470 0.4022 0.8256
-1.3396 5.8674 5.4927
La Mg Cd Ag
1 1 5 2
Cartesian
-0.6698 2.9337 2.7464
0.0000 0.0000 0.0000
2.2460 1.6357 1.7558
-0.4892 -0.3681 3.2292
1.5614 4.6340 4.5625
-1.1737 2.6302 6.0360
1.7420 1.3322 5.0454
2.1965 -0.6583 3.1820
1.2876 3.3226 6.9087
```

=====

(5)
Computed, not measured: a relaxed structure of LaMg4Cd2Ag at the PBE level of DFT.

Properties
Its crystal system is trigonal.

The structure in POSCAR format:
```
LaMg4Cd2Ag
1.0
-2.7456 -3.1970 -2.4688
-2.8692 -3.1303 2.4133
-8.7293 3.9786 -0.2753
La Mg Cd Ag
1 4 2 1
Cartesian
0.0000 0.0000 0.0000
-9.2135 0.6379 -0.2419
-8.3475 -3.9014 -0.1579
-5.9966 1.5527 -0.1730
-5.1306 -2.9866 -0.0890
-10.8853 -1.6486 -0.2529
-3.4587 -0.7002 -0.0779
-7.1720 -1.1744 -0.1654
```

=====

(6)
Computed, not measured: a relaxed structure of Na2LaCdAg at the PBE level of DFT.

Properties
Its crystal system is tetragonal.

The structure in POSCAR format:
```
Na2LaCdAg
1.0
-4.8110 4.3449 1.1518
-0.0284 -1.5729 5.8145
4.4949 4.6386 1.2767
Na Cd Ag La
2 1 1 1
Cartesian
2.2474 2.3193 0.6384
-2.4055 2.1725 0.5759
-0.0142 -0.7864 2.9073
-0.1723 3.7053 4.1215
0.0000 0.0000 0.0000
```

=====

(7)
Computed, not measured: a relaxed structure of LaNd2Cd2Ag2 at the PBE level of DFT.

Properties
Its crystal system is trigonal.

The structure in POSCAR format:
```
LaNd2Cd2Ag2
1.0
-3.3962 2.1004 2.9287
-4.3321 1.4733 -1.8936
-6.1240 -6.9888 2.0973
La Nd Cd Ag
1 2 2 2
Cartesian
0.0000 0.0000 0.0000
-4.7838 -3.8988 1.4354
-9.0686 0.4837 1.6971
-10.5040 -2.8260 2.4061
-3.3483 -0.5891 0.7264
-5.8938 0.6728 1.0563
-7.9586 -4.0879 2.0761
```

=====

(8)
Computed, not measured: a relaxed structure of La2NdCd2Ag2 at the PBE level of DFT.

Properties
Its crystal system is trigonal.

The structure in POSCAR format:
```
La2NdCd2Ag2
1.0
-2.6573 4.0597 1.0951
-4.8890 -0.3780 0.8342
-0.9173 -0.0920 9.4114
La Nd Cd Ag
2 1 2 2
Cartesian
-1.5143 0.4008 6.1359
-6.9493 3.1889 5.2048
0.0000 0.0000 0.0000
-6.2646 2.6237 8.9616
-2.1990 0.9660 2.3791
-4.7330 2.2086 2.9206
-3.7307 1.3811 8.4201
```

=====

The records above give, respectively, calculated density values of 8.345 7.834 6.284 7.016 4.984 2.577 7.468 7.420 Mg/m³.
The records above give, respectively, total magnetic moment values of 0.0 0.0 0.0 0.0 0.0 1.4 0.0 0.0 μB/cell.
The records above give, respectively, energy relative to the elements values of -0.276 -0.190 -0.215 -0.017 -0.178 1.028 -0.211 -0.220 eV/atom.